Below is an optimized crystal structure of Mg4SbAu, with properties calculated at the PBE level.

Results
- uncorrected formation energy (eV/atom) = 0.023
- ρ (Mg/m³) = 5.2

Unit cell a=5.7282 b=5.7282 c=5.7282 alpha=60.00 beta=60.00 gamma=60.00
With the nearest neighbours (Å) after each atom.
Fractional coordinates of all 6 atoms:
Mg: 0.3750 0.3750 0.8751  6 Mg 2.86
Sb: 0.7500 0.7500 0.7500  12 Mg 3.36, 4 Au 3.51
Mg: 0.3750 0.8751 0.3750  6 Mg 2.86
Mg: 0.8751 0.3750 0.3750  6 Mg 2.86
Mg: 0.3750 0.3750 0.3750  6 Mg 2.86
Au: 0.0000 0.0000 0.0000  12 Mg 3.36, 4 Sb 3.51